No. 1
4
Lattice="1.455 0.840 8.968 -1.455 0.840 8.968 0.000 -1.680 8.968" Properties=species:S:1:pos:R:3 comment="TaGa2Mo | the Alexandria database | PBE-GGA | optimized geometry" formation_energy_ev_per_atom=-0.023 pbc="T T T"
Ta 0.000 0.000 0.000
Ga 0.000 0.000 6.684
Ga 0.000 0.000 11.285
Mo 0.000 0.000 22.444


No. 2
18
Lattice="-3.547 5.954 3.523 3.547 -5.954 3.523 3.547 5.954 -3.523" Properties=species:S:1:pos:R:3 comment="TaGaMo | the Alexandria database | PBE-GGA | optimized geometry" formation_energy_ev_per_atom=-0.093 pbc="T T T"
Ta 1.773 0.129 0.000
Ta 1.773 3.280 -1.126
Ta 1.773 -2.121 2.625
Ta 1.773 8.074 -0.899
Ta 1.773 2.674 2.397
Ta 1.773 5.825 3.523
Ga -0.052 2.047 0.496
Ga 3.599 2.047 0.496
Ga 1.773 5.298 0.634
Ga 1.773 0.655 4.157
Ga 0.052 9.860 0.496
Ga -0.052 3.907 4.020
Mo 0.000 0.000 2.284
Mo 3.547 0.000 2.284
Mo -0.477 4.484 1.486
Mo 4.023 4.484 1.486
Mo 0.477 7.424 1.486
Mo -0.477 1.470 5.010


No. 3
10
Lattice="6.862 0.000 0.000 0.000 6.862 0.000 0.000 0.000 3.366" Properties=species:S:1:pos:R:3 comment="TaGa2Mo2 | the Alexandria database | PBE-GGA | optimized geometry" formation_energy_ev_per_atom=-0.108 pbc="T T T"
Ta 0.000 0.000 0.000
Ta 3.431 3.431 0.000
Ga 0.870 2.561 0.000
Ga 2.561 5.992 0.000
Ga 4.301 0.870 0.000
Ga 5.992 4.301 0.000
Mo 1.195 4.626 1.683
Mo 2.236 1.195 1.683
Mo 4.626 5.666 1.683
Mo 5.666 2.236 1.683


No. 4
10
Lattice="7.426 0.000 0.000 0.000 7.426 0.000 0.000 0.000 2.996" Properties=species:S:1:pos:R:3 comment="TaGa2Mo2 | the Alexandria database | PBE-GGA | optimized geometry" formation_energy_ev_per_atom=0.226 pbc="T T T"
Ta 0.000 0.000 0.000
Ta 3.713 3.713 0.000
Ga 1.310 2.403 1.498
Ga 2.403 6.116 1.498
Ga 5.023 1.310 1.498
Ga 6.116 5.023 1.498
Mo 0.888 4.601 0.000
Mo 2.825 0.888 0.000
Mo 4.601 6.538 0.000
Mo 6.538 2.825 0.000


No. 5
16
Lattice="4.921 0.000 0.000 0.000 5.512 0.000 0.000 0.000 10.368" Properties=species:S:1:pos:R:3 comment="Ta3Ga4Mo | the Alexandria database | PBE-GGA | optimized geometry" formation_energy_ev_per_atom=0.105 pbc="T T T"
Ta 1.230 0.021 2.081
Ta 1.230 2.735 2.081
Ta 1.230 4.134 7.233
Ta 3.691 1.378 3.136
Ta 3.691 2.777 8.288
Ta 3.691 5.491 8.288
Ga 1.230 0.006 9.706
Ga 1.230 1.378 4.595
Ga 1.230 2.750 9.706
Ga 1.230 4.134 4.489
Ga 3.691 1.378 5.879
Ga 3.691 2.762 0.663
Ga 3.691 4.134 5.774
Ga 3.691 5.506 0.663
Mo 1.230 1.378 7.282
Mo 3.691 4.134 3.086


No. 6
4
Lattice="3.936 0.000 0.000 0.000 3.936 0.000 0.000 0.000 4.140" Properties=species:S:1:pos:R:3 comment="TaGa2Mo | the Alexandria database | PBE-GGA | optimized geometry" formation_energy_ev_per_atom=-0.006 pbc="T T T"
Ta 0.000 0.000 0.000
Ga 0.000 1.968 2.070
Ga 1.968 0.000 2.070
Mo 1.968 1.968 0.000


No. 7
8
Lattice="-3.521 3.521 2.767 3.521 -3.521 2.767 3.521 3.521 -2.767" Properties=species:S:1:pos:R:3 comment="TaGa2Mo | the Alexandria database | PBE-GGA | optimized geometry" formation_energy_ev_per_atom=0.304 pbc="T T T"
Ta 0.000 0.000 0.000
Ta 0.000 3.521 1.384
Ga 1.760 1.811 -0.692
Ga 5.231 1.760 0.692
Ga 1.760 1.710 2.075
Ga -1.710 1.760 3.459
Mo 3.521 0.000 1.384
Mo 0.000 0.000 2.767


No. 8
3
Lattice="4.534 0.000 0.000 -2.267 3.927 0.000 0.000 0.000 2.789" Properties=species:S:1:pos:R:3 comment="TaGaMo | the Alexandria database | PBE-GGA | optimized geometry" formation_energy_ev_per_atom=-0.060 pbc="T T T"
Ta 0.000 0.000 0.000
Ga 0.000 2.618 1.712
Mo 2.267 1.309 0.851


Results for E_tot: -28.8; -155.9; -80.2; -76.9; -115.3; -28.8; -55.0; -25.9 (in eV/cell, following the order of the records).
Results for density: 10.512; 11.605; 10.736; 10.297; 10.837; 10.779; 10.078; 11.590 (in Mg/m³, following the order of the records).
Results for total magnetization: 0.000; 0.000; 0.000; 0.000; 0.000; 0.001; 0.000; 0.000 (in μB per formula unit, following the order of the records).